Crystalline CsSrF3 at its relaxed geometry, computed with PBE.

```
CsSrF3
1.0
3.8277 0.0000 0.0000
0.0000 4.0218 -6.0677
0.0000 4.0218 6.0677
F Sr Cs
3 1 1
Direct
0.0000 0.2299 0.7701 F
0.5000 0.6376 0.7222 F
0.5000 0.2778 0.3624 F
0.0000 0.4186 0.5814 Sr
0.5000 0.0641 0.9359 Cs
```

## Properties
The raw formation energy comes out at -16.4 eV/f.u. For the total DFT energy (no corrections), the calculation gives -24.512 eV/cell. The density of states at the Fermi level comes out at 0.0 states/eV/cell. The excess energy over the best structure of this formula in the dataset is 0.80 eV/f.u. The calculated volume comes out at 187 Å³ per cell.